{"formula": "LuScO3", "functional": "meta-GGA SCAN", "state": "PBEsol geometry", "lattice_angstrom": [[6.035, 0.000, 0.000], [-3.018, 5.226, 0.000], [0.000, 0.000, 11.956]], "species": ["Lu", "Lu", "Lu", "Lu", "Lu", "Lu", "Sc", "Sc", "Sc", "Sc", "Sc", "Sc", "O", "O", "O", "O", "O", "O", "O", "O", "O", "O", "O", "O", "O", "O", "O", "O", "O", "O"], "frac_coords": [[0.333, 0.667, 0.268], [0.000, 0.000, 0.228], [0.000, 0.000, 0.728], [0.333, 0.667, 0.768], [0.667, 0.333, 0.768], [0.667, 0.333, 0.268], [0.333, 0.000, 0.001], [0.667, 0.000, 0.501], [0.667, 0.667, 0.001], [0.333, 0.333, 0.501], [0.000, 0.667, 0.501], [0.000, 0.333, 0.001], [0.305, 0.000, 0.831], [0.363, 0.000, 0.170], [0.637, 0.000, 0.670], [0.695, 0.000, 0.331], [0.333, 0.667, 0.476], [0.000, 0.000, 0.032], [0.000, 0.000, 0.532], [0.333, 0.667, 0.976], [0.695, 0.695, 0.831], [0.637, 0.637, 0.170], [0.000, 0.695, 0.331], [0.363, 0.363, 0.670], [0.305, 0.305, 0.331], [0.000, 0.637, 0.670], [0.667, 0.333, 0.976], [0.667, 0.333, 0.476], [0.000, 0.363, 0.170], [0.000, 0.305, 0.831]], "e_form_raw_ev_per_atom": -3.9294}